The following is a PBE calculation of BeCu after structural relaxation, from Alexandria.

Values from the calculation:
magnetization: 0.00 μB per formula unit
total DFT energy (no corrections): -94.869 eV for the cell shown
formation energy from the elements: -0.042 eV/atom

Unit cell a=7.6562 b=6.7265 c=4.6363 alpha=90.00 beta=90.00 gamma=90.00
Space group Pbcm (No. 57)
Symmetry-distinct sites (fractional):
Be: 0.0814 0.0486 0.2500 (multiplicity 4)
Be: 0.3634 0.6163 0.2500 (multiplicity 4)
Be: 0.4154 0.2500 0.0000 (multiplicity 4)
Cu: 0.1238 0.7500 0.0000 (multiplicity 4)
Cu: 0.1673 0.1321 0.7500 (multiplicity 4)
Cu: 0.3726 0.5396 0.7500 (multiplicity 4)

The following is a PBE calculation of Be7Cu after structural relaxation, from Alexandria.

Values from the calculation:
magnetization: 0.00 μB per formula unit
total DFT energy (no corrections): -120.748 eV for the cell shown
formation energy from the elements: -0.001 eV/atom

Unit cell a=6.4675 b=6.4675 c=6.4675 alpha=90.00 beta=90.00 gamma=90.00
Space group Fm-3m (No. 225)
Symmetry-distinct sites (fractional):
Be: 0.0000 0.0000 0.0000 (multiplicity 4)
Be: 0.0000 0.2500 0.2500 (multiplicity 24)
Cu: 0.0000 0.0000 0.5000 (multiplicity 4)

The following is a PBE calculation of BeCu after structural relaxation, from Alexandria.

Values from the calculation:
magnetization: 0.00 μB per formula unit
total DFT energy (no corrections): -125.410 eV for the cell shown
formation energy from the elements: -0.008 eV/atom

Unit cell a=2.5000 b=9.4795 c=13.4761 alpha=90.00 beta=90.00 gamma=90.00
Space group Fddd (No. 70, origin choice 2)
Symmetry-distinct sites (fractional):
Be: 0.1250 0.2750 0.1250 (multiplicity 16)
Cu: 0.1250 0.1250 0.5241 (multiplicity 16)

Please write out number 1 again, unchanged.
The following is a PBE calculation of BeCu after structural relaxation, from Alexandria.

Values from the calculation:
magnetization: 0.00 μB per formula unit
total DFT energy (no corrections): -94.869 eV for the cell shown
formation energy from the elements: -0.042 eV/atom

Unit cell a=7.6562 b=6.7265 c=4.6363 alpha=90.00 beta=90.00 gamma=90.00
Space group Pbcm (No. 57)
Symmetry-distinct sites (fractional):
Be: 0.0814 0.0486 0.2500 (multiplicity 4)
Be: 0.3634 0.6163 0.2500 (multiplicity 4)
Be: 0.4154 0.2500 0.0000 (multiplicity 4)
Cu: 0.1238 0.7500 0.0000 (multiplicity 4)
Cu: 0.1673 0.1321 0.7500 (multiplicity 4)
Cu: 0.3726 0.5396 0.7500 (multiplicity 4)

Question: Number 1 is which compound?
Answer: BeCu

Question: Look up the total DFT energy (no corrections) of the first one.
Answer: -94.869 eV for the cell shown